Entry 1:
{"formula": "LaThRhS", "functional": "PBE-GGA", "state": "relaxed", "mass_density_kg_m3": 8010, "final_energy_ev_per_atom": -7.234, "formation_energy_uncorrected_ev_per_atom": -1.278, "lattice": [[-3.5608, 1.8331, -0.3731], [0.2545, -3.5282, 1.9141], [3.4615, 3.5446, 6.0735]], "species": ["Rh", "La", "Th", "S"], "frac_coords": [[0.3137, 0.5548, 0.8836], [0.4823, 0.1390, 0.6367], [0.1200, 0.9579, 0.0930], [0.9619, 0.3791, 0.3562]]}

---

Entry 2:
{"formula": "LaU4Rh3S12", "functional": "PBE-GGA", "state": "relaxed", "mass_density_kg_m3": 6655, "final_energy_ev_per_atom": -7.118, "formation_energy_uncorrected_ev_per_atom": -1.035, "lattice": [[-3.3721, 1.8422, -7.3931], [-5.9912, -0.3275, 5.7811], [5.5369, 5.8728, 2.0679]], "species": ["Rh", "Rh", "Rh", "S", "S", "S", "S", "S", "S", "S", "S", "S", "S", "S", "S", "U", "U", "U", "U", "La"], "frac_coords": [[0.0000, 0.5000, 0.5000], [0.5000, 0.0000, 0.5000], [0.5000, 0.5000, 0.0000], [0.1526, 0.8461, 0.6935], [0.3065, 0.8474, 0.1539], [0.3065, 0.1526, 0.4591], [0.6935, 0.1526, 0.8461], [0.1526, 0.4591, 0.3065], [0.1539, 0.3065, 0.8474], [0.6935, 0.8474, 0.5409], [0.4591, 0.3065, 0.1526], [0.8461, 0.6935, 0.1526], [0.8474, 0.5409, 0.6935], [0.8474, 0.1539, 0.3065], [0.5409, 0.6935, 0.8474], [0.5000, 0.0000, 0.0000], [0.0000, 0.0000, 0.5000], [0.5000, 0.5000, 0.5000], [0.0000, 0.5000, 0.0000], [0.0000, 0.0000, 0.0000]]}

---

Entry 3:
{"formula": "La3SbRh", "functional": "PBE-GGA", "state": "relaxed", "mass_density_kg_m3": 6987, "final_energy_ev_per_atom": -6.131, "formation_energy_uncorrected_ev_per_atom": -0.879, "lattice": [[4.7184, 0.0000, 0.0000], [0.0000, 8.4642, 0.0000], [0.0000, 0.0000, 15.2664]], "species": ["Rh", "Rh", "Rh", "Rh", "La", "La", "La", "La", "La", "La", "La", "La", "La", "La", "La", "La", "Sb", "Sb", "Sb", "Sb"], "frac_coords": [[0.7500, 0.1764, 0.4377], [0.7500, 0.6764, 0.0623], [0.2500, 0.3236, 0.9377], [0.2500, 0.8236, 0.5623], [0.7500, 0.6402, 0.4906], [0.2500, 0.1909, 0.7821], [0.7500, 0.3091, 0.2821], [0.7500, 0.0321, 0.6020], [0.2500, 0.8598, 0.9906], [0.2500, 0.9679, 0.3980], [0.2500, 0.6909, 0.7179], [0.7500, 0.1402, 0.0094], [0.7500, 0.8091, 0.2179], [0.7500, 0.5321, 0.8980], [0.2500, 0.3598, 0.5094], [0.2500, 0.4679, 0.1020], [0.7500, 0.9148, 0.8218], [0.2500, 0.0852, 0.1782], [0.7500, 0.4148, 0.6782], [0.2500, 0.5852, 0.3218]]}

---

Entry 4:
{"formula": "La2Sb7Rh12", "functional": "PBE-GGA", "state": "relaxed", "mass_density_kg_m3": 9838, "final_energy_ev_per_atom": -6.653, "formation_energy_uncorrected_ev_per_atom": -0.609, "lattice": [[-2.9767, -1.5038, -2.4514], [7.1005, -1.5988, -7.6413], [-1.9660, -7.6018, 7.0506]], "species": ["Sb", "Sb", "Sb", "Sb", "Sb", "Sb", "Sb", "La", "La", "Rh", "Rh", "Rh", "Rh", "Rh", "Rh", "Rh", "Rh", "Rh", "Rh", "Rh", "Rh"], "frac_coords": [[0.7466, 0.5985, 0.8890], [0.7466, 0.2905, 0.4015], [0.7466, 0.1110, 0.7095], [0.2534, 0.8890, 0.2905], [0.5000, 0.0000, 0.0000], [0.2534, 0.4015, 0.1110], [0.2534, 0.7095, 0.5985], [0.2461, 0.3333, 0.6667], [0.7539, 0.6667, 0.3333], [0.7564, 0.8566, 0.1201], [0.2491, 0.4416, 0.3790], [0.2491, 0.9375, 0.5584], [0.7509, 0.0625, 0.4416], [0.7564, 0.2636, 0.1434], [0.7509, 0.3790, 0.9375], [0.2436, 0.7364, 0.8566], [0.7564, 0.8799, 0.7364], [0.2491, 0.6210, 0.0625], [0.2436, 0.1201, 0.2636], [0.2436, 0.1434, 0.8799], [0.7509, 0.5584, 0.6210]]}

---

Entry 5:
{"formula": "LaSbRh2", "functional": "PBE-GGA", "state": "relaxed", "mass_density_kg_m3": 9363, "final_energy_ev_per_atom": -6.387, "formation_energy_uncorrected_ev_per_atom": -0.449, "lattice": [[3.5758, 0.0000, 0.0000], [0.0000, 3.5758, 0.0000], [0.0000, 0.0000, 6.4698]], "species": ["Rh", "Rh", "Sb", "La"], "frac_coords": [[0.0000, 0.0000, 0.2771], [0.0000, 0.0000, 0.7229], [0.5000, 0.5000, 0.5000], [0.5000, 0.5000, 0.0000]]}

---

Entry 6:
{"formula": "La3SbRh", "functional": "PBE-GGA", "state": "relaxed", "mass_density_kg_m3": 6407, "final_energy_ev_per_atom": -5.896, "formation_energy_uncorrected_ev_per_atom": -0.645, "lattice": [[5.4983, 0.0000, 0.0000], [0.0000, 5.4983, 0.0000], [0.0000, 0.0000, 5.4983]], "species": ["La", "La", "La", "Sb", "Rh"], "frac_coords": [[0.5000, 0.0000, 0.0000], [0.0000, 0.5000, 0.0000], [0.0000, 0.0000, 0.5000], [0.5000, 0.5000, 0.5000], [0.0000, 0.0000, 0.0000]]}

---

Entry 7:
{"formula": "La4Sb6Rh7", "functional": "PBE-GGA", "state": "relaxed", "mass_density_kg_m3": 9100, "final_energy_ev_per_atom": -6.515, "formation_energy_uncorrected_ev_per_atom": -0.874, "lattice": [[7.3595, 0.0000, -2.6020], [-3.6798, 6.3735, -2.6020], [0.0000, 0.0000, 7.8060]], "species": ["Rh", "Rh", "Rh", "Rh", "Rh", "Rh", "Rh", "La", "La", "La", "La", "Sb", "Sb", "Sb", "Sb", "Sb", "Sb"], "frac_coords": [[0.2500, 0.7500, 0.5000], [0.5000, 0.7500, 0.2500], [0.5000, 0.2500, 0.7500], [0.2500, 0.5000, 0.7500], [0.0000, 0.0000, 0.0000], [0.7500, 0.2500, 0.5000], [0.7500, 0.5000, 0.2500], [0.0000, 0.5000, 0.0000], [0.5000, 0.0000, 0.0000], [0.5000, 0.5000, 0.5000], [0.0000, 0.0000, 0.5000], [0.0000, 0.3219, 0.3219], [0.6781, 0.6781, 0.0000], [0.0000, 0.6781, 0.6781], [0.3219, 0.3219, 0.0000], [0.3219, 0.0000, 0.3219], [0.6781, 0.0000, 0.6781]]}

---

Entry 8:
{"formula": "LaSbRh2", "functional": "PBE-GGA", "state": "relaxed", "mass_density_kg_m3": 9136, "final_energy_ev_per_atom": -6.527, "formation_energy_uncorrected_ev_per_atom": -0.589, "lattice": [[1.4008, -4.6592, 1.9182], [1.8347, -1.9614, 4.4874], [-3.9333, -1.5231, 2.2635]], "species": ["Rh", "Rh", "Sb", "La"], "frac_coords": [[0.0130, 0.0130, 0.9544], [0.7572, 0.7572, 0.7297], [0.4832, 0.4832, 0.5942], [0.2466, 0.2466, 0.2217]]}

---

Entry 9:
{"formula": "LaSbRh2", "functional": "PBE-GGA", "state": "relaxed", "mass_density_kg_m3": 7676, "final_energy_ev_per_atom": -6.332, "formation_energy_uncorrected_ev_per_atom": -0.394, "lattice": [[4.7746, 0.0000, 0.0000], [0.0000, 4.7746, 0.0000], [2.3873, 2.3873, 8.8537]], "species": ["Rh", "Rh", "Rh", "Rh", "Sb", "Sb", "La", "La"], "frac_coords": [[0.3750, 0.5113, 0.7500], [0.8750, 0.7387, 0.7500], [0.2613, 0.6250, 0.2500], [0.4887, 0.1250, 0.2500], [0.5000, 0.5000, 0.0000], [0.2500, 0.7500, 0.5000], [0.0000, 0.0000, 0.0000], [0.7500, 0.2500, 0.5000]]}

---

Entry 10:
{"formula": "La3Sb4Rh3", "functional": "PBE-GGA", "state": "relaxed", "mass_density_kg_m3": 8127, "final_energy_ev_per_atom": -6.256, "formation_energy_uncorrected_ev_per_atom": -0.923, "lattice": [[-6.1178, -5.8463, -1.7155], [2.1331, 4.1501, -7.2647], [6.9664, -3.9768, 3.1944]], "species": ["La", "La", "La", "La", "La", "La", "Sb", "Sb", "Sb", "Sb", "Sb", "Sb", "Sb", "Sb", "Rh", "Rh", "Rh", "Rh", "Rh", "Rh"], "frac_coords": [[0.3750, 0.1250, 0.7500], [0.1250, 0.3750, 0.2500], [0.2500, 0.8750, 0.1250], [0.8750, 0.2500, 0.6250], [0.7500, 0.6250, 0.3750], [0.6250, 0.7500, 0.8750], [0.1555, 0.6555, 0.6555], [0.0000, 0.0000, 0.3445], [0.3445, 0.5000, 0.0000], [0.5000, 0.3445, 0.5000], [0.0000, 0.0000, 0.8445], [0.8445, 0.5000, 0.0000], [0.5000, 0.8445, 0.5000], [0.6555, 0.1555, 0.1555], [0.2500, 0.3750, 0.6250], [0.7500, 0.1250, 0.8750], [0.1250, 0.7500, 0.3750], [0.6250, 0.8750, 0.2500], [0.3750, 0.2500, 0.1250], [0.8750, 0.6250, 0.7500]]}

---

Entry 11:
{"formula": "La3Sb4Rh4", "functional": "PBE-GGA", "state": "relaxed", "mass_density_kg_m3": 8373, "final_energy_ev_per_atom": -6.437, "formation_energy_uncorrected_ev_per_atom": -0.921, "lattice": [[4.4465, 0.0000, -0.7161], [-0.1154, 4.1979, -0.7166], [-0.0353, 0.2177, 13.9438]], "species": ["Rh", "Rh", "Rh", "Rh", "Sb", "Sb", "Sb", "Sb", "La", "La", "La"], "frac_coords": [[0.0992, 0.5992, 0.1985], [0.2510, 0.2510, 0.5019], [0.7490, 0.7490, 0.4981], [0.9008, 0.4008, 0.8015], [0.8054, 0.3054, 0.6108], [0.5536, 0.5536, 0.1072], [0.4464, 0.4464, 0.8928], [0.1946, 0.6946, 0.3892], [0.0000, 0.0000, 0.0000], [0.3528, 0.8528, 0.7056], [0.6472, 0.1472, 0.2944]]}

---

Entry 12:
{"formula": "La2SbRh3", "functional": "PBE-GGA", "state": "relaxed", "mass_density_kg_m3": 8285, "final_energy_ev_per_atom": -6.657, "formation_energy_uncorrected_ev_per_atom": -0.651, "lattice": [[6.1016, -0.1043, 0.0000], [-0.3412, 6.0930, 0.0000], [-2.8802, -2.9943, 7.6439]], "species": ["La", "La", "La", "La", "Sb", "Sb", "Rh", "Rh", "Rh", "Rh", "Rh", "Rh"], "frac_coords": [[0.7500, 0.2500, 0.5000], [0.7475, 0.7475, 0.0000], [0.2525, 0.2525, 0.0000], [0.2500, 0.7500, 0.5000], [0.3305, 0.3305, 0.6609], [0.6695, 0.6695, 0.3391], [0.8377, 0.8377, 0.6755], [0.8316, 0.3359, 0.1675], [0.1684, 0.6641, 0.8325], [0.6641, 0.1684, 0.8325], [0.3359, 0.8316, 0.1675], [0.1623, 0.1623, 0.3245]]}